w | First-principles (PBE) data for a relaxed structure of Mg5Al2Ga, as listed in the Alexandria database.

a b c (Å): 5.5244 5.5244 18.9728
angles (deg): 90.00 90.00 145.02
With the nearest neighbours (Å) after each atom.
Fractional positions:
Mg: 0.0290 0.9710 0.7500  3 Ga 2.89-2.90, 4 Al 3.07
Mg: 0.1381 0.8619 0.5278  2 Al 2.95, 7 Mg 3.07-3.20
Mg: 0.1381 0.8619 0.9722  2 Al 2.95, 7 Mg 3.07-3.20
Mg: 0.4243 0.5757 0.6100  1 Ga 2.94, 3 Al 3.00-3.01, 4 Mg 3.17-3.20
Mg: 0.4243 0.5757 0.8900  1 Ga 2.94, 3 Al 3.00-3.01, 4 Mg 3.17-3.20
Mg: 0.5757 0.4243 0.1100  1 Ga 2.94, 3 Al 3.00-3.01, 4 Mg 3.17-3.20
Mg: 0.5757 0.4243 0.3900  1 Ga 2.94, 3 Al 3.00-3.01, 4 Mg 3.17-3.20
Mg: 0.8619 0.1381 0.0278  2 Al 2.95, 7 Mg 3.07-3.20
Mg: 0.8619 0.1381 0.4722  2 Al 2.95, 7 Mg 3.07-3.20
Mg: 0.9710 0.0290 0.2500  3 Ga 2.89-2.90, 4 Al 3.07
Al: 0.3005 0.6995 0.1520  2 Ga 2.73, 5 Mg 2.95-3.01
Al: 0.3005 0.6995 0.3480  2 Ga 2.73, 5 Mg 2.95-3.01
Al: 0.6995 0.3005 0.6520  2 Ga 2.73, 5 Mg 2.95-3.01
Al: 0.6995 0.3005 0.8480  2 Ga 2.73, 5 Mg 2.95-3.01
Ga: 0.3043 0.6957 0.7500  4 Al 2.73, 5 Mg 2.89-2.94
Ga: 0.6957 0.3043 0.2500  4 Al 2.73, 5 Mg 2.89-2.94



x | First-principles (PBE) data for a relaxed structure of Mg5Al2Ga, as listed in the Alexandria database.

a b c (Å): 8.4344 8.4344 8.4344
angles (deg): 130.53 130.53 72.56
With the nearest neighbours (Å) after each atom.
Fractional positions:
Mg: 0.0000 0.0000 0.0000  4 Al 2.77
Mg: 0.0069 0.5069 0.8257  2 Ga 2.94, 3 Al 2.96-2.97, 2 Mg 3.09-3.25
Mg: 0.1812 0.0069 0.5000  2 Ga 2.94, 3 Al 2.96-2.97, 2 Mg 3.09-3.25
Mg: 0.3188 0.8188 0.8257  2 Ga 2.94, 3 Al 2.96-2.97, 2 Mg 3.09-3.25
Mg: 0.4931 0.3188 0.5000  2 Ga 2.94, 3 Al 2.96-2.97, 2 Mg 3.09-3.25
Mg: 0.5000 0.5000 0.0000  4 Al 2.77
Mg: 0.5069 0.6812 0.5000  2 Ga 2.94, 3 Al 2.96-2.97, 2 Mg 3.09-3.25
Mg: 0.6812 0.1812 0.1743  2 Ga 2.94, 3 Al 2.96-2.97, 2 Mg 3.09-3.25
Mg: 0.8188 0.9931 0.5000  2 Ga 2.94, 3 Al 2.96-2.97, 2 Mg 3.09-3.25
Mg: 0.9931 0.4931 0.1743  2 Ga 2.94, 3 Al 2.96-2.97, 2 Mg 3.09-3.25
Al: 0.1306 0.3694 0.5000  1 Al 2.61, 2 Mg 2.77
Al: 0.3694 0.8694 0.2388  1 Al 2.61, 2 Mg 2.77
Al: 0.6306 0.1306 0.7612  1 Al 2.61, 2 Mg 2.77
Al: 0.8694 0.6306 0.5000  1 Al 2.61, 2 Mg 2.77
Ga: 0.2500 0.2500 0.0000  8 Mg 2.94
Ga: 0.7500 0.7500 0.0000  8 Mg 2.94



Most stable structure, least stable structure: w, x.